Entry from the Open Quantum Materials Database: LiCoNiSb after structural relaxation (PBE).

Values from the calculation:
energy above the most stable polymorph in this dataset = 0 meV/atom
spin magnetization = 1.02 μB per formula unit
total energy = -4.89 eV per atom
crystal system = cubic

Lattice parameters (Å, degrees): 4.1954 4.1954 4.1954 60.00 60.00 60.00
Atoms (fractional coordinates):
Li 0.0000 0.0000 0.0000
Co 0.7500 0.7500 0.7500
Ni 0.2500 0.2500 0.2500
Sb 0.5000 0.5000 0.5000